# ZnGa2B2Ir5, optimized geometry, DFT PBE
data_ZnGa2B2Ir5
_cell_length_a 9.438
_cell_length_b 9.438
_cell_length_c 2.931
_cell_angle_alpha 90.00
_cell_angle_beta 90.00
_cell_angle_gamma 90.00
_symmetry_space_group_name_H-M 'P 4/m b m'
_symmetry_Int_Tables_number 127
_symmetry_space_group_name_Hall '-P 4 2ab'
loop_
_atom_site_label
_atom_site_fract_x
_atom_site_fract_y
_atom_site_fract_z
Zn1 0.000 0.000 0.000
Ga1 0.176 0.324 0.000
B1 0.130 0.630 0.000
Ir1 0.000 0.500 0.500
Ir2 0.084 0.792 0.500
# Fermi-level density of states (states/eV per atom): 0.197
# M_tot (μB/f.u.): 0.00
# Uncorrected energy (eV per atom): -6.710
# DFT formation energy (eV/atom): -0.212